No. 1
Material: Y4SnPbSe2
Method: DFT, GGA-PBE
State: optimized geometry

abc: 4.239 7.497 7.331
angles: 70.98 90.00 90.00
Fractional positions:
Y  0.000  0.761  0.744
Y  0.000  0.239  0.256
Y  0.500  0.759  0.250
Y  0.500  0.241  0.750
Sn  0.000  0.500  0.500
Pb  0.500  0.500  0.000
Se  0.000  0.000  0.000
Se  0.500  0.000  0.500

Summary:
Size of the total moment (μB per formula unit): 0.00
Raw total energy (eV/atom): -6.2559

---

No. 2
Material: ZrRu4Se
Method: DFT, GGA-PBE
State: optimized geometry

abc: 5.191 5.191 5.191
angles: 60.00 60.00 60.00
Fractional positions:
Zr  0.000  0.000  0.000
Ru  0.875  0.375  0.375
Ru  0.375  0.375  0.875
Ru  0.375  0.875  0.375
Ru  0.375  0.375  0.375
Se  0.750  0.750  0.750

Summary:
Size of the total moment (μB per formula unit): 0.00
Raw total energy (eV/atom): -7.9515

---

No. 3
Material: NpMnSn
Method: DFT, GGA-PBE
State: optimized geometry

abc: 4.725 4.747 5.946
angles: 113.53 88.11 90.00
Each line ends with the local moment (μB).
Fractional positions:
Np  0.293  0.889  0.777  3.40
Np  0.707  0.111  0.223  3.40
Mn  0.115  0.191  0.382  -1.36
Mn  0.885  0.809  0.618  -1.36
Sn  0.231  0.595  0.190  -0.01
Sn  0.769  0.405  0.810  -0.01

Summary:
DFT formation energy (eV/f.u.): -0.22
Size of the total moment (μB per formula unit): 2.24
Raw total energy (eV/atom): -8.7777